#w
GaClF3 | PBE-GGA | optimized geometry

abc: 5.1406 5.3059 6.0603
angles: 90.00 90.00 88.71
Site moments in Bohr magnetons follow the coordinates.
Sites, in units of the cell vectors:
Ga1 0.4858 0.0089 0.2500  -0.01
Ga2 0.5142 0.9911 0.7500  -0.01
Cl1 0.2540 0.6257 0.2500  0.55
Cl2 0.7460 0.3743 0.7500  0.55
F1 0.7240 0.9051 0.4841  0.01
F2 0.2760 0.0949 0.5159  0.01
F3 0.7240 0.9051 0.0159  0.01
F4 0.2760 0.0949 0.9841  0.01
F5 0.5987 0.3443 0.2500  0.25
F6 0.4013 0.6557 0.7500  0.25

#x
GaClF3 | PBE-GGA | optimized geometry

abc: 3.9834 3.9834 3.9834
angles: 90.00 90.00 90.00
Site moments in Bohr magnetons follow the coordinates.
Sites, in units of the cell vectors:
F1 0.0000 0.5000 0.0000  0.04
F2 0.0000 0.0000 0.5000  0.06
F3 0.5000 0.0000 0.0000  0.07
Ga1 0.0000 0.0000 0.0000  -0.01
Cl1 0.5000 0.5000 0.5000  0.66

Summary:
- DOS(E_F): 6.9 states/eV/f.u.

Ranking the structures above by energy, #w is first and the second is 0.180 eV/atom behind.